# 1
Compound: LiNiPt4
Source: Alexandria
Functional: GGA-PBE
Structure: optimized geometry

a b c (Å): 5.2239 5.2239 5.2239
angles (deg): 60.00 60.00 60.00
Last column: magnetic moment on the atom in μB.
Positions (direct):
Li 0.7500 0.7500 0.7500  0.00
Pt 0.8752 0.3749 0.3749  0.01
Ni 0.0000 0.0000 0.0000  0.88
Pt 0.3749 0.3749 0.8752  0.01
Pt 0.3749 0.8752 0.3749  0.01
Pt 0.3749 0.3749 0.3749  0.01

Size of the total moment ... 0.86 μB per cell
ρ ... 13.9 g/cm³
DFT formation energy ... -10 meV/atom
Crystal system ... cubic

# 2
Compound: Pr2Cd6Au3
Source: Alexandria
Functional: GGA-PBE
Structure: optimized geometry

a b c (Å): 4.4302 8.3667 8.3667
angles (deg): 120.00 90.00 90.00
Positions (direct):
Cd 0.5000 0.7276 0.7276
Cd 0.5000 0.2724 0.0000
Cd 0.5000 0.0000 0.2724
Cd 0.0000 0.7982 0.0000
Au 0.5000 0.0000 0.5957
Pr 0.0000 0.3333 0.6667
Pr 0.0000 0.6667 0.3333
Cd 0.0000 0.2018 0.2018
Au 0.5000 0.4043 0.4043
Au 0.5000 0.5957 0.0000
Cd 0.0000 0.0000 0.7982

Size of the total moment ... 0.00 μB per cell
ρ ... 9.6 g/cm³
DFT formation energy ... -342 meV/atom
Crystal system ... hexagonal

# 3
Compound: NpZnFeRh
Source: Alexandria
Functional: GGA-PBE
Structure: optimized geometry

a b c (Å): 4.4914 4.4914 4.4914
angles (deg): 60.00 60.00 60.00
Last column: magnetic moment on the atom in μB.
Positions (direct):
Np 0.5000 0.5000 0.5000  3.53
Rh 0.7500 0.7500 0.7500  -0.15
Zn 0.0000 0.0000 0.0000  0.03
Fe 0.2500 0.2500 0.2500  -1.54

Size of the total moment ... 2.13 μB per cell
ρ ... 12.0 g/cm³
DFT formation energy ... -115 meV/atom
Crystal system ... cubic

# 4
Compound: TlGaHg
Source: Alexandria
Functional: GGA-PBE
Structure: optimized geometry

a b c (Å): 8.1964 3.2523 11.4903
angles (deg): 90.00 90.00 90.00
Positions (direct):
Ga 0.4380 0.2500 0.1001
Ga 0.9380 0.2500 0.3999
Hg 0.8546 0.2500 0.7855
Tl 0.3359 0.2500 0.4279
Hg 0.1454 0.7500 0.2145
Hg 0.6454 0.7500 0.2855
Ga 0.0620 0.7500 0.6001
Tl 0.6641 0.7500 0.5721
Ga 0.5620 0.7500 0.8999
Hg 0.3546 0.2500 0.7145
Tl 0.8359 0.2500 0.0721
Tl 0.1641 0.7500 0.9279

Size of the total moment ... 0.00 μB per cell
ρ ... 10.3 g/cm³
DFT formation energy ... 66 meV/atom
Crystal system ... orthorhombic

# 5
Compound: Al2MoRu
Source: Alexandria
Functional: GGA-PBE
Structure: optimized geometry

a b c (Å): 2.9870 4.6766 4.2518
angles (deg): 90.00 90.00 90.00
Positions (direct):
Mo 0.5000 0.0000 0.5000
Al 0.0000 0.0000 0.0000
Ru 0.0000 0.5000 0.5000
Al 0.5000 0.5000 0.0000

Size of the total moment ... 0.00 μB per cell
Relative energy among the computed polymorphs ... 209.5 meV/atom
ρ ... 7.0 g/cm³
DFT formation energy ... -172 meV/atom
Crystal system ... orthorhombic

# 6
Compound: K3SrB
Source: Alexandria
Functional: GGA-PBE
Structure: optimized geometry

a b c (Å): 6.3556 6.3556 6.3556
angles (deg): 90.00 90.00 90.00
Last column: magnetic moment on the atom in μB.
Positions (direct):
Sr 0.5000 0.5000 0.5000  0.01
K 0.0000 0.0000 0.5000  0.03
K 0.0000 0.5000 0.0000  0.02
K 0.5000 0.0000 0.0000  0.03
B 0.0000 0.0000 0.0000  0.54

Size of the total moment ... 1.77 μB per cell
Relative energy among the computed polymorphs ... 0.0 meV/atom
ρ ... 1.4 g/cm³
DFT formation energy ... 824 meV/atom
Crystal system ... cubic

Among the records above, which one has the lowest ρ? K3SrB